--- a ---
The following is a GGA-PBE calculation of crystalline BaAcDy2 at its relaxed geometry, from Alexandria.

Lattice parameters (Å, degrees): 3.8510 3.8510 10.8248 90.00 90.00 90.00
Last column: nearest neighbours and their distance in Å.
Sites, in units of the cell vectors:
Dy1 0.0000 0.0000 0.2294  4 Ac 3.69, 4 Dy 3.85, 4 Ba 4.00
Dy2 0.0000 0.0000 0.7706  4 Ac 3.69, 4 Dy 3.85, 4 Ba 4.00
Ba1 0.5000 0.5000 0.5000  4 Ba 3.85, 8 Dy 4.00
Ac1 0.5000 0.5000 0.0000  8 Dy 3.69, 4 Ac 3.85

***

--- b ---
The following is a GGA-PBE calculation of crystalline BaAcDy2 at its relaxed geometry, from Alexandria.

Lattice parameters (Å, degrees): 3.7334 3.7334 13.3597 81.97 81.97 60.00
Last column: nearest neighbours and their distance in Å.
Sites, in units of the cell vectors:
Ba1 0.0000 0.0000 0.0000  2 Dy 3.63, 6 Ba 3.73
Dy1 0.9082 0.9082 0.2754  1 Ba 3.63, 3 Ac 3.66, 6 Dy 3.73
Dy2 0.0918 0.0918 0.7246  1 Ba 3.63, 3 Ac 3.66, 6 Dy 3.73
Ac1 0.5000 0.5000 0.5000  6 Dy 3.66, 6 Ac 3.73

***

Q: What are the energies relative to the best structure? A: a 0.000; b 0.091, in eV/atom.

***

--- a ---
The following is a GGA-PBE calculation of crystalline BaAc2Er at its relaxed geometry, from Alexandria.

Lattice parameters (Å, degrees): 5.5520 5.5690 5.5690 90.00 90.00 90.00
Last column: nearest neighbours and their distance in Å.
Sites, in units of the cell vectors:
Ac1 0.0000 0.5000 0.0000  4 Er 3.93, 4 Ba 3.93, 4 Ac 3.94
Ac2 0.0000 0.0000 0.5000  4 Ba 3.93, 4 Er 3.93, 4 Ac 3.94
Er1 0.5000 0.0000 0.0000  8 Ac 3.93, 4 Ba 3.94
Ba1 0.5000 0.5000 0.5000  8 Ac 3.93, 4 Er 3.94

***

--- b ---
The following is a GGA-PBE calculation of crystalline BaAc2Er at its relaxed geometry, from Alexandria.

Lattice parameters (Å, degrees): 4.0033 4.0033 11.0021 90.00 90.00 90.00
Last column: nearest neighbours and their distance in Å.
Sites, in units of the cell vectors:
Er1 0.5000 0.5000 0.0000  8 Ac 3.69, 4 Er 4.00
Ac1 0.0000 0.0000 0.2147  4 Er 3.69, 4 Ac 4.00
Ac2 0.0000 0.0000 0.7853  4 Er 3.69, 4 Ac 4.00
Ba1 0.5000 0.5000 0.5000  4 Ba 4.00, 8 Ac 4.23

***

Q: What are the energies relative to the best structure? A: a 0.085; b 0.000, in eV/atom.

***

--- a ---
The following is a GGA-PBE calculation of crystalline BaAc2Er at its relaxed geometry, from Alexandria.

Lattice parameters (Å, degrees): 3.9402 3.9402 13.1730 81.40 81.40 60.00
Last column: nearest neighbours and their distance in Å.
Sites, in units of the cell vectors:
Ac1 0.0751 0.0751 0.7746  3 Er 3.70, 6 Ac 3.94
Ac2 0.2585 0.2585 0.2246  3 Er 3.70, 6 Ac 3.94
Er1 0.6668 0.6668 0.9996  6 Ac 3.70, 6 Er 3.94
Ba1 0.4996 0.4996 0.5011  6 Ba 3.94, 6 Ac 4.22-4.25

***

--- b ---
The following is a GGA-PBE calculation of crystalline BaAc2Er at its relaxed geometry, from Alexandria.

Lattice parameters (Å, degrees): 6.2854 6.2854 6.2854 60.00 60.00 60.00
Last column: nearest neighbours and their distance in Å.
Sites, in units of the cell vectors:
Ac1 0.2500 0.2500 0.2500  4 Er 3.85, 4 Ba 3.85
Ac2 0.7500 0.7500 0.7500  4 Ba 3.85, 4 Er 3.85
Ba1 0.0000 0.0000 0.0000  8 Ac 3.85
Er1 0.5000 0.5000 0.5000  8 Ac 3.85

***

Q: What are the energies relative to the best structure? A: a 0.000; b 0.118, in eV/atom.

***

--- a ---
The following is a GGA-PBE calculation of crystalline BaAcEr at its relaxed geometry, from Alexandria.

Lattice parameters (Å, degrees): 3.9716 3.9716 8.7904 103.06 103.06 90.00
Last column: nearest neighbours and their distance in Å.
Sites, in units of the cell vectors:
Ac1 0.3171 0.3171 0.6342  4 Er 3.65, 4 Ac 3.97
Ba1 0.0061 0.0061 0.0122  4 Ba 3.97, 4 Er 4.00, 4 Ac 4.22
Er1 0.6768 0.6768 0.3535  4 Ac 3.65, 4 Er 3.97, 4 Ba 4.00

***

--- b ---
The following is a GGA-PBE calculation of crystalline BaAcEr at its relaxed geometry, from Alexandria.

Lattice parameters (Å, degrees): 3.7787 6.2674 6.2674 120.00 90.00 90.00
Last column: nearest neighbours and their distance in Å.
Sites, in units of the cell vectors:
Ba1 0.6546 0.6667 0.3333  2 Ba 3.78, 6 Er 3.97-4.20, 6 Ac 4.03-4.14
Ac1 0.1245 0.0000 0.0000  3 Er 3.64, 2 Ac 3.78, 3 Ba 4.03
Er1 0.2209 0.3333 0.6667  3 Ac 3.64, 2 Er 3.78, 3 Ba 3.97

***

Q: What are the energies relative to the best structure? A: a 0.000; b 0.125, in eV/atom.

***

--- a ---
The following is a GGA-PBE calculation of crystalline BaAcEu2 at its relaxed geometry, from Alexandria.

Lattice parameters (Å, degrees): 4.0461 4.0461 13.5436 81.41 81.41 60.00
Last column: nearest neighbours and their distance in Å.
Sites, in units of the cell vectors:
Ba1 0.5000 0.5000 0.5000  6 Ba 4.05, 6 Eu 4.19
Ac1 0.0000 0.0000 0.0000  6 Eu 3.96, 6 Ac 4.05
Eu1 0.2536 0.2536 0.2393  3 Ac 3.96, 6 Eu 4.05, 3 Ba 4.19
Eu2 0.7464 0.7464 0.7607  3 Ac 3.96, 6 Eu 4.05, 3 Ba 4.19

***

--- b ---
The following is a GGA-PBE calculation of crystalline BaAcEu2 at its relaxed geometry, from Alexandria.

Lattice parameters (Å, degrees): 6.4495 6.4495 6.4495 60.00 60.00 60.00
Last column: nearest neighbours and their distance in Å.
Sites, in units of the cell vectors:
Eu1 0.2500 0.2500 0.2500  4 Ba 3.95, 4 Ac 3.95
Eu2 0.7500 0.7500 0.7500  4 Ac 3.95, 4 Ba 3.95
Ac1 0.0000 0.0000 0.0000  8 Eu 3.95
Ba1 0.5000 0.5000 0.5000  8 Eu 3.95

***

Q: What are the energies relative to the best structure? A: a 0.000; b 0.035, in eV/atom.

***

--- a ---
The following is a GGA-PBE calculation of crystalline BaAcEu2 at its relaxed geometry, from Alexandria.

Lattice parameters (Å, degrees): 4.4691 6.5148 6.5148 90.00 90.00 90.00
Last column: nearest neighbours and their distance in Å.
Sites, in units of the cell vectors:
Ba1 0.5000 0.5000 0.5000  8 Eu 3.95
Eu1 0.0000 0.0000 0.5000  4 Ba 3.95, 4 Ac 3.95
Eu2 0.0000 0.5000 0.0000  4 Ac 3.95, 4 Ba 3.95
Ac1 0.5000 0.0000 0.0000  8 Eu 3.95

***

--- b ---
The following is a GGA-PBE calculation of crystalline BaAcEu2 at its relaxed geometry, from Alexandria.

Lattice parameters (Å, degrees): 4.0739 4.0739 11.5303 90.00 90.00 90.00
Last column: nearest neighbours and their distance in Å.
Sites, in units of the cell vectors:
Ba1 0.5000 0.5000 0.5000  4 Ba 4.07, 8 Eu 4.22
Eu1 0.0000 0.0000 0.7680  4 Ac 3.93, 4 Eu 4.07, 4 Ba 4.22
Eu2 0.0000 0.0000 0.2320  4 Ac 3.93, 4 Eu 4.07, 4 Ba 4.22
Ac1 0.5000 0.5000 0.0000  8 Eu 3.93, 4 Ac 4.07

***

Q: What are the energies relative to the best structure? A: a 0.029; b 0.000, in eV/atom.

***

--- a ---
The following is a GGA-PBE calculation of crystalline BaAcGa4 at its relaxed geometry, from Alexandria.

Lattice parameters (Å, degrees): 5.9325 5.9325 5.9325 60.00 60.00 60.00
Last column: nearest neighbours and their distance in Å.
Sites, in units of the cell vectors:
Ga1 0.6250 0.6250 0.6250  6 Ga 2.97
Ga2 0.1251 0.6250 0.6250  6 Ga 2.97
Ga3 0.6250 0.1251 0.6250  6 Ga 2.97
Ga4 0.6250 0.6250 0.1251  6 Ga 2.97
Ba1 0.0000 0.0000 0.0000  12 Ga 3.48, 4 Ac 3.63
Ac1 0.2500 0.2500 0.2500  12 Ga 3.48, 4 Ba 3.63

***

--- b ---
The following is a GGA-PBE calculation of crystalline BaAcGa4 at its relaxed geometry, from Alexandria.

Lattice parameters (Å, degrees): 4.4093 6.6003 6.6003 95.25 70.49 70.49
Last column: nearest neighbours and their distance in Å.
Sites, in units of the cell vectors:
Ga1 0.3327 0.9075 0.9272  3 Ga 2.56-2.59
Ga2 0.6673 0.0925 0.0728  3 Ga 2.56-2.59
Ga3 0.6673 0.5728 0.5926  3 Ga 2.56-2.59
Ga4 0.3327 0.4272 0.4074  3 Ga 2.56-2.59
Ac1 0.0000 0.5000 0.0000  12 Ga 3.47-3.61
Ba1 0.0000 0.0000 0.5000  12 Ga 3.48-3.60

***

Q: What are the energies relative to the best structure? A: a 0.128; b 0.000, in eV/atom.

***

--- a ---
The following is a GGA-PBE calculation of crystalline BaAc2Ga at its relaxed geometry, from Alexandria.

Lattice parameters (Å, degrees): 4.0011 4.0011 10.3536 90.00 90.00 90.00
Last column: nearest neighbours and their distance in Å.
Sites, in units of the cell vectors:
Ba1 0.5000 0.5000 0.5000  4 Ba 4.00, 8 Ac 4.38
Ga1 0.5000 0.5000 0.0000  8 Ac 3.37
Ac1 0.0000 0.0000 0.1765  4 Ga 3.37, 1 Ac 3.66
Ac2 0.0000 0.0000 0.8235  4 Ga 3.37, 1 Ac 3.66

***

--- b ---
The following is a GGA-PBE calculation of crystalline BaAc2Ga at its relaxed geometry, from Alexandria.

Lattice parameters (Å, degrees): 5.0377 5.0377 8.8010 73.37 73.37 60.00
Last column: nearest neighbours and their distance in Å.
Sites, in units of the cell vectors:
Ba1 0.5000 0.5000 0.5000  6 Ac 4.07
Ac1 0.2807 0.2807 0.1580  3 Ga 3.19
Ac2 0.7193 0.7193 0.8420  3 Ga 3.19
Ga1 0.0000 0.0000 0.0000  6 Ac 3.19

***

Q: What are the energies relative to the best structure? A: a 0.000; b 0.164, in eV/atom.

***

--- a ---
The following is a GGA-PBE calculation of crystalline BaAcGaPd at its relaxed geometry, from Alexandria.

Lattice parameters (Å, degrees): 5.5440 5.5440 5.5440 60.00 60.00 60.00
Last column: nearest neighbours and their distance in Å.
Sites, in units of the cell vectors:
Ba1 0.5000 0.5000 0.5000  4 Pd 3.40, 4 Ga 3.40
Ac1 0.0000 0.0000 0.0000  4 Pd 3.40, 4 Ga 3.40
Pd1 0.7500 0.7500 0.7500  4 Ba 3.40, 4 Ac 3.40
Ga1 0.2500 0.2500 0.2500  4 Ba 3.40, 4 Ac 3.40

***

--- b ---
The following is a GGA-PBE calculation of crystalline BaAcGaPd at its relaxed geometry, from Alexandria.

Lattice parameters (Å, degrees): 4.5548 4.5548 8.5973 90.05 105.30 120.02
Last column: nearest neighbours and their distance in Å.
Sites, in units of the cell vectors:
Ga1 0.5018 0.6154 0.1172  3 Pd 2.63
Ac1 0.0138 0.8708 0.8847  3 Pd 3.22, 3 Ga 3.25
Ba1 0.3457 0.0381 0.3838  3 Ga 3.42, 3 Pd 3.45
Pd1 0.8308 0.2801 0.1109  3 Ga 2.63

***

Q: What are the energies relative to the best structure? A: a 0.137; b 0.000, in eV/atom.

***

--- a ---
The following is a GGA-PBE calculation of crystalline BaAcGd at its relaxed geometry, from Alexandria.

Lattice parameters (Å, degrees): 3.9514 3.9514 9.7889 90.00 90.00 120.00
Last column: nearest neighbours and their distance in Å.
Sites, in units of the cell vectors:
Gd1 0.3333 0.6667 0.6537  3 Ac 3.70, 6 Gd 3.95, 3 Ba 4.01
Ba1 0.0000 0.0000 0.9903  6 Ba 3.95, 3 Gd 4.01, 3 Ac 4.24
Ac1 0.6667 0.3333 0.3559  3 Gd 3.70, 6 Ac 3.95

***

--- b ---
The following is a GGA-PBE calculation of crystalline BaAcGd at its relaxed geometry, from Alexandria.

Lattice parameters (Å, degrees): 3.9384 3.9384 9.0429 102.58 102.58 90.00
Last column: nearest neighbours and their distance in Å.
Sites, in units of the cell vectors:
Ac1 0.6522 0.6522 0.3045  4 Gd 3.70, 4 Ac 3.94
Gd1 0.0105 0.0105 0.0210  4 Ac 3.70, 4 Gd 3.94, 4 Ba 4.08
Ba1 0.3373 0.3373 0.6745  4 Ba 3.94, 4 Gd 4.08, 4 Ac 4.23

***

Q: What are the energies relative to the best structure? A: a 0.016; b 0.000, in eV/atom.

***

--- a ---
The following is a GGA-PBE calculation of crystalline BaAcInGe at its relaxed geometry, from Alexandria.

Lattice parameters (Å, degrees): 5.7662 5.7662 5.7662 60.00 60.00 60.00
Last column: nearest neighbours and their distance in Å.
Sites, in units of the cell vectors:
Ba1 0.0000 0.0000 0.0000  4 In 3.53, 4 Ge 3.53
Ge1 0.2500 0.2500 0.2500  4 Ba 3.53, 4 Ac 3.53
In1 0.7500 0.7500 0.7500  4 Ac 3.53, 4 Ba 3.53
Ac1 0.5000 0.5000 0.5000  4 Ge 3.53, 4 In 3.53

***

--- b ---
The following is a GGA-PBE calculation of crystalline BaAcInGe at its relaxed geometry, from Alexandria.

Lattice parameters (Å, degrees): 4.9545 4.5054 6.7657 90.00 111.48 90.00
Last column: nearest neighbours and their distance in Å.
Sites, in units of the cell vectors:
Ba1 0.8533 0.5000 0.7065  3 Ge 3.47-3.76, 4 In 3.50
Ac1 0.1332 0.0000 0.2664  4 Ge 3.42, 3 In 3.51-3.81
In1 0.4355 0.0000 0.8709  2 Ge 2.88
Ge1 0.5781 0.5000 0.1561  2 In 2.88

***

Q: What are the energies relative to the best structure? A: a 0.140; b 0.000, in eV/atom.

***

--- a ---
The following is a GGA-PBE calculation of crystalline BaAcH2 at its relaxed geometry, from Alexandria.

Lattice parameters (Å, degrees): 4.1902 4.1902 7.4620 73.69 73.69 60.00
Last column: nearest neighbours and their distance in Å.
Sites, in units of the cell vectors:
Ba1 0.4664 0.4664 0.6007  1 H 2.71
H1 0.0429 0.0429 0.8713  3 H 2.55, 3 Ac 2.71
H2 0.3386 0.3386 0.9843  3 Ac 2.46, 3 H 2.55, 1 Ba 2.71
Ac1 0.6521 0.6521 0.0437  6 H 2.46-2.71

***

--- b ---
The following is a GGA-PBE calculation of crystalline BaAcH2 at its relaxed geometry, from Alexandria.

Lattice parameters (Å, degrees): 4.2359 4.2359 7.4875 73.57 73.57 60.00
Last column: nearest neighbours and their distance in Å.
Sites, in units of the cell vectors:
H1 0.8834 0.8834 0.3497  1 Ac 2.48, 3 Ba 2.67
H2 0.1166 0.1166 0.6503  1 Ac 2.48, 3 Ba 2.67
Ac1 0.0000 0.0000 0.0000  2 H 2.48
Ba1 0.5000 0.5000 0.5000  6 H 2.67

***

Q: What are the energies relative to the best structure? A: a 0.055; b 0.000, in eV/atom.